Below is a relaxed structure of Hf2NiS, with properties calculated at the GGA-PBE level.

Results
Formation energy (no corrections) (eV per atom): -0.09
Total energy (eV per atom): -7.548
Magnetization (μB per cell): 0.000

Unit cell a=3.1400 b=3.1400 c=26.1339 alpha=90.00 beta=90.00 gamma=120.00
Space group R-3m (No. 166, hexagonal axes)
Unique sites:
Hf1 0.0000 0.0000 0.0942 [6 per cell]
Ni1 0.0000 0.0000 0.0000 [3 per cell]
S1 0.0000 0.0000 0.5000 [3 per cell]